A plane-wave DFT calculation with PBE with a Hubbard U was carried out for a geometry-optimized SrFe4O7 structure.

Structure (POSCAR):
```
SrFe4O7
1.0
-1.2280 2.8946 4.1401
-5.0672 -2.0572 -0.0646
3.9555 -9.9996 8.1645
Fe O Sr
8 14 2
direct
0.5823 0.6673 0.1188 Fe
0.0823 0.3327 0.6188 Fe
0.0678 0.8238 0.2525 Fe
0.0823 0.3327 0.3812 Fe
0.5678 0.1762 0.2475 Fe
0.5678 0.1762 0.7525 Fe
0.5823 0.6673 0.8812 Fe
0.0678 0.8238 0.7475 Fe
0.4365 0.8452 0.2310 O
0.4638 0.8067 0.0000 O
0.9376 0.7345 0.1288 O
0.9806 0.6658 0.6276 O
0.4365 0.8452 0.7690 O
0.9365 0.1548 0.2690 O
0.9365 0.1548 0.7310 O
0.9806 0.6658 0.3724 O
0.9638 0.1933 0.5000 O
0.4806 0.3342 0.8724 O
0.4376 0.2655 0.6288 O
0.4376 0.2655 0.3712 O
0.4806 0.3342 0.1276 O
0.9376 0.7345 0.8712 O
0.6815 0.8560 0.5000 Sr
0.1815 0.1440 0.0000 Sr
```

Summary:
Space-group type: Pmn2_1, No. 31
Total DFT energy (no corrections) (eV per cell): -155.79